Here is a relaxed structure of Ti4GaB from Alexandria. Energies are from PBE.

```
12
Lattice="5.110 0.001 0.000 0.001 5.707 0.244 -2.555 -2.123 6.261" Properties=species:S:1:pos:R:3 pbc="T T T"
Ti 0.480 -1.459 5.110
Ti 3.036 2.190 1.273
Ti 2.076 5.044 1.395
Ti -0.481 1.395 5.232
Ti 3.048 3.588 4.170
Ti 0.493 2.850 2.457
Ti -0.493 -0.003 2.335
Ti 2.062 0.735 4.048
Ga 4.668 4.281 0.183
Ga -2.113 -0.695 6.322
B 1.277 -1.061 3.130
B -1.277 1.792 3.252
```

**V**: 185 Å³/cell
**Energy of formation**: -0.273 eV/atom
**Density**: 4.88 g/cm3
**Symmetry**: C2/c
**Spin magnetization**: 0.00 μB/cell